Model A:
A plane-wave DFT calculation with PBE-GGA was carried out for Zr2ScSiN after structural relaxation.

* density: 4.3 g/cm³
* magnetic moment: 0.0000 μB per atom
* symmetry: P4/mmm (123)

a b c (Å): 5.1769 5.1769 3.8763
angles (deg): 90.00 90.00 90.00
Element x y z (fractional)
Zr1 0.0000 0.5000 0.0000
Zr2 0.5000 0.0000 0.0000
Sc1 0.0000 0.0000 0.0000
Si1 0.5000 0.5000 0.5000
N1 0.0000 0.0000 0.5000

***

Model B:
A plane-wave DFT calculation with PBE-GGA was carried out for Zr2ScSiN after structural relaxation.

* density: 3.9 g/cm³
* magnetic moment: 0.0000 μB per atom
* symmetry: P4/mmm (123)

a b c (Å): 4.9288 4.9288 4.6746
angles (deg): 90.00 90.00 90.00
Element x y z (fractional)
Zr1 0.0000 0.5000 0.0000
Zr2 0.5000 0.0000 0.0000
Sc1 0.0000 0.0000 0.0000
Si1 0.0000 0.0000 0.5000
N1 0.5000 0.5000 0.5000

***

Pick model A: it beats the second-best structure by 1.009 eV/atom.